No. 1
Crystalline Tl3Cd5Sn12 at its relaxed geometry, computed with GGA-PBE.

Summary:
Spin magnetization ... 0.00 μB per cell
DOS at the Fermi energy ... 62.19 states/eV/cell

abc: 17.5347 17.5347 17.5347
angles: 90.00 90.00 90.00
Space group Ia-3d (No. 230)
One atom of each set of equivalent atoms:
Tl: 0.0000 0.2500 0.1250 (multiplicity 24)
Cd: 0.0000 0.0000 0.0000 (multiplicity 16)
Cd: 0.0000 0.2500 0.3750 (multiplicity 24)
Sn: 0.0103 0.0761 0.6510 (multiplicity 96)

No. 2
Crystalline TlCd2Sn at its relaxed geometry, computed with GGA-PBE.

Summary:
Spin magnetization ... 0.00 μB per cell
DOS at the Fermi energy ... 1.46 states/eV/cell
Relative energy among the computed polymorphs ... 36.3 meV/atom

abc: 3.7432 3.7432 7.5966
angles: 90.00 90.00 90.00
Space group P4/mmm (No. 123)
One atom of each set of equivalent atoms:
Tl: 0.0000 0.0000 0.0000 (multiplicity 1)
Cd: 0.5000 0.5000 0.2584 (multiplicity 2)
Sn: 0.0000 0.0000 0.5000 (multiplicity 1)

No. 3
Crystalline TlCd6Sn at its relaxed geometry, computed with GGA-PBE.

Summary:
Spin magnetization ... 0.00 μB per cell
DOS at the Fermi energy ... 4.15 states/eV/cell

abc: 4.6853 4.6853 9.0377
angles: 90.00 90.00 90.00
Space group P4/mmm (No. 123)
One atom of each set of equivalent atoms:
Tl: 0.0000 0.0000 0.0000 (multiplicity 1)
Cd: 0.0000 0.5000 0.2548 (multiplicity 4)
Cd: 0.5000 0.5000 0.0000 (multiplicity 1)
Cd: 0.5000 0.5000 0.5000 (multiplicity 1)
Sn: 0.0000 0.0000 0.5000 (multiplicity 1)

No. 4
Crystalline Tl2CdSn3 at its relaxed geometry, computed with GGA-PBE.

Summary:
Spin magnetization ... 0.00 μB per cell
DOS at the Fermi energy ... 11.06 states/eV/cell
Relative energy among the computed polymorphs ... 4.8 meV/atom

abc: 9.5732 10.8174 6.6052
angles: 90.00 90.00 90.00
Space group Cmcm (No. 63)
One atom of each set of equivalent atoms:
Tl: 0.1725 0.2358 0.2500 (multiplicity 8)
Cd: 0.0000 0.2621 0.7500 (multiplicity 4)
Sn: 0.0000 0.0000 0.0000 (multiplicity 4)
Sn: 0.1631 0.5000 0.0000 (multiplicity 8)

No. 5
Crystalline Tl3Cd2Sn at its relaxed geometry, computed with GGA-PBE.

Summary:
Spin magnetization ... 0.00 μB per cell
DOS at the Fermi energy ... 3.43 states/eV/cell

abc: 6.3424 6.3424 5.2824
angles: 90.00 90.00 120.00
Space group P6/mmm (No. 191)
One atom of each set of equivalent atoms:
Tl: 0.0000 0.5000 0.0000 (multiplicity 3)
Cd: 0.3333 0.6667 0.5000 (multiplicity 2)
Sn: 0.0000 0.0000 0.5000 (multiplicity 1)

No. 6
Crystalline Tl12CdSn3 at its relaxed geometry, computed with GGA-PBE.

Summary:
Spin magnetization ... 0.00 μB per cell
DOS at the Fermi energy ... 7.81 states/eV/cell

abc: 5.1079 5.1079 18.2266
angles: 90.00 90.00 90.00
Space group P4/mmm (No. 123)
One atom of each set of equivalent atoms:
Tl: 0.0000 0.0000 0.0000 (multiplicity 1)
Tl: 0.0000 0.0000 0.2497 (multiplicity 2)
Tl: 0.0000 0.0000 0.5000 (multiplicity 1)
Tl: 0.0000 0.5000 0.1240 (multiplicity 4)
Tl: 0.0000 0.5000 0.3742 (multiplicity 4)
Cd: 0.5000 0.5000 0.5000 (multiplicity 1)
Sn: 0.5000 0.5000 0.0000 (multiplicity 1)
Sn: 0.5000 0.5000 0.2489 (multiplicity 2)

No. 7
Crystalline Tl2CdSn at its relaxed geometry, computed with GGA-PBE.

Summary:
Spin magnetization ... 0.00 μB per cell
DOS at the Fermi energy ... 1.53 states/eV/cell
Relative energy among the computed polymorphs ... 10.6 meV/atom

abc: 3.2844 5.3707 6.6558
angles: 90.00 103.38 90.00
Space group Pm (No. 6)
One atom of each set of equivalent atoms:
Tl: 0.0000 0.0000 0.0000 (multiplicity 1)
Tl: 0.3406 0.5000 0.7028 (multiplicity 1)
Cd: 0.6049 0.5000 0.2160 (multiplicity 1)
Sn: 0.7194 0.0000 0.4756 (multiplicity 1)

No. 8
Crystalline TlCdSn2 at its relaxed geometry, computed with GGA-PBE.

Summary:
Spin magnetization ... 0.00 μB per cell
DOS at the Fermi energy ... 3.99 states/eV/cell
Relative energy among the computed polymorphs ... 12.3 meV/atom

abc: 10.4478 3.5099 6.2982
angles: 90.00 102.11 90.00
Space group C2/m (No. 12)
One atom of each set of equivalent atoms:
Tl: 0.0000 0.0000 0.0000 (multiplicity 2)
Cd: 0.0000 0.5000 0.5000 (multiplicity 2)
Sn: 0.2432 0.0000 0.7134 (multiplicity 4)

No. 9
Crystalline TlCd17Sn at its relaxed geometry, computed with GGA-PBE.

Summary:
Spin magnetization ... 0.00 μB per cell
DOS at the Fermi energy ... 25.72 states/eV/cell

abc: 10.2119 10.2119 15.5103
angles: 90.00 90.00 120.00
Space group R3m (No. 160, hexagonal axes)
One atom of each set of equivalent atoms:
Tl: 0.0000 0.0000 0.0000 (multiplicity 3)
Cd: 0.0000 0.0000 0.2443 (multiplicity 3)
Cd: 0.0000 0.0000 0.4444 (multiplicity 3)
Cd: 0.9996 0.4998 0.4977 (multiplicity 9)
Cd: 0.0040 0.3049 0.3484 (multiplicity 18)
Cd: 0.1686 0.3372 0.1800 (multiplicity 9)
Cd: 0.1701 0.3401 0.5363 (multiplicity 9)
Sn: 0.0000 0.0000 0.7526 (multiplicity 3)

No. 10
Crystalline Tl2Cd2Sn at its relaxed geometry, computed with GGA-PBE.

Summary:
Spin magnetization ... 0.00 μB per cell
DOS at the Fermi energy ... 4.51 states/eV/cell
Relative energy among the computed polymorphs ... 138.8 meV/atom

abc: 4.3993 4.3993 15.0165
angles: 90.00 90.00 90.00
Space group I4/mmm (No. 139)
One atom of each set of equivalent atoms:
Tl: 0.0000 0.5000 0.2500 (multiplicity 4)
Cd: 0.0000 0.0000 0.0930 (multiplicity 4)
Sn: 0.0000 0.0000 0.5000 (multiplicity 2)

ΔE_f (eV per atom)
0.22; 0.07; 0.05; 0.07; 0.24; 0.04; 0.03; 0.07; 0.05; 0.19